{"formula": "LiCoPO4", "functional": "GGA+U", "state": "optimized geometry", "relative_energy_ev_per_atom": 0.030, "m_tot_mub_per_fu": 3.01, "dft_energy_ev_per_atom": -6.62, "sg": "P-1, No. 2", "lattice_angstrom": [[4.7430, 0.0033, -0.0028], [0.0054, 6.0007, -0.0047], [-0.0056, -0.0106, 10.2859]], "species": ["Li", "Li", "Li", "Li", "Co", "Co", "Co", "Co", "P", "P", "P", "P", "O", "O", "O", "O", "O", "O", "O", "O", "O", "O", "O", "O", "O", "O", "O", "O"], "fractional_positions": [[0.5000, 0.0000, 0.5000], [0.0000, 0.5000, 0.0000], [0.5000, 0.5000, 0.5000], [0.0000, 0.0000, 0.0000], [0.0177, 0.7493, 0.7229], [0.4763, 0.7500, 0.2243], [0.9823, 0.2507, 0.2771], [0.5237, 0.2500, 0.7757], [0.5787, 0.7503, 0.9062], [0.9176, 0.7499, 0.4068], [0.4213, 0.2497, 0.0938], [0.0824, 0.2501, 0.5932], [0.2545, 0.7523, 0.9015], [0.2415, 0.7505, 0.4028], [0.7455, 0.2477, 0.0985], [0.7585, 0.2496, 0.5972], [0.7960, 0.7478, 0.5471], [0.6991, 0.7465, 0.0466], [0.2040, 0.2522, 0.4529], [0.3009, 0.2535, 0.9534], [0.7816, 0.9563, 0.3364], [0.7134, 0.5462, 0.8324], [0.2186, 0.4547, 0.6659], [0.2820, 0.0438, 0.1633], [0.2184, 0.0437, 0.6636], [0.2866, 0.4538, 0.1676], [0.7814, 0.5454, 0.3341], [0.7180, 0.9562, 0.8367]]}